{
  "formula": "Gd2SnPt",
  "functional": "PBE-GGA",
  "state": "relaxed",
  "space_group": "R-3m (166)",
  "total_energy_ha_per_atom": -0.380,
  "lattice_angstrom": [[3.963, 0.000, 0.000], [-1.981, 3.432, 0.000], [0.000, 0.000, 24.465]],
  "species": ["Gd", "Gd", "Gd", "Gd", "Gd", "Gd", "Sn", "Sn", "Sn", "Pt", "Pt", "Pt"],
  "fractional_positions": [[0.000, 0.000, 0.237], [0.000, 0.000, 0.763], [0.333, 0.667, 0.430], [0.333, 0.667, 0.903], [0.667, 0.333, 0.097], [0.667, 0.333, 0.570], [0.000, 0.000, 0.000], [0.333, 0.667, 0.667], [0.667, 0.333, 0.333], [0.000, 0.000, 0.500], [0.333, 0.667, 0.167], [0.667, 0.333, 0.833]]
}



{
  "formula": "La2Sm2In3",
  "functional": "PBE-GGA",
  "state": "relaxed",
  "polymorph_energy_mev_per_atom": 0,
  "space_group": "P-1 (2)",
  "total_energy_ha_per_atom": -0.159,
  "lattice_angstrom": [[3.988, 0.000, 0.000], [-1.992, 5.914, 0.000], [-0.005, -0.229, 8.819]],
  "species": ["La", "La", "Sm", "Sm", "In", "In", "In"],
  "fractional_positions": [[0.214, 0.430, 0.159], [0.786, 0.570, 0.841], [0.055, 0.110, 0.700], [0.945, 0.890, 0.300], [0.340, 0.680, 0.549], [0.500, 0.000, 0.000], [0.660, 0.320, 0.451]]
}



{
  "formula": "RbTi2Zn",
  "functional": "PBE-GGA",
  "state": "relaxed",
  "space_group": "I-42d (122)",
  "total_energy_ha_per_atom": -0.126,
  "lattice_angstrom": [[4.401, 0.000, 0.000], [0.000, 4.401, 0.000], [0.000, 0.000, 21.462]],
  "species": ["Rb", "Rb", "Rb", "Rb", "Ti", "Ti", "Ti", "Ti", "Ti", "Ti", "Ti", "Ti", "Zn", "Zn", "Zn", "Zn"],
  "fractional_positions": [[0.000, 0.000, 0.000], [0.000, 0.500, 0.250], [0.500, 0.000, 0.750], [0.500, 0.500, 0.500], [0.116, 0.750, 0.625], [0.250, 0.116, 0.375], [0.250, 0.384, 0.875], [0.384, 0.750, 0.125], [0.616, 0.250, 0.125], [0.750, 0.616, 0.875], [0.750, 0.884, 0.375], [0.884, 0.250, 0.625], [0.000, 0.000, 0.500], [0.000, 0.500, 0.750], [0.500, 0.000, 0.250], [0.500, 0.500, 0.000]]
}



no.,energy of formation from the pure elements (eV per atom),size of the total moment (μB per formula unit)
1,-0.801,14.3
2,-0.389,0.0
3,1.067,0.0